! Rb2ZrSeF6 PBE optimized geometry; values from VASP
&SYSTEM
  ibrav = 0, nat = 10, ntyp = 4
/
ATOMIC_SPECIES
Rb 85.47 Rb.upf
Zr 91.22 Zr.upf
Se 78.96 Se.upf
F 19.00 F.upf
CELL_PARAMETERS angstrom
-1.537 5.096 4.222
-5.094 1.855 -4.095
-6.625 0.270 2.728
ATOMIC_POSITIONS angstrom
Rb -7.517 2.801 -0.652
Zr 0.000 0.000 0.000
Se -3.316 3.476 0.064
F -5.226 5.478 0.100
Rb -5.739 4.421 3.506
F -5.358 1.498 1.708
F -7.898 5.724 1.147
F -1.405 1.473 0.027
F -2.291 4.409 2.460
F -4.340 2.542 -2.332
! space group: I4/mmm, No. 139
! raw formation energy: -2701 meV/atom
! E: -0.1918 hartree per atom